(1)
## Mg3Tl2Cd2 (GGA-PBE)

Data for a relaxed Mg3Tl2Cd2 crystal.

Cell: 4.981 5.174 7.657 Å, 100.13 97.24 117.19°
Space group P-1 (No. 2)
Inequivalent atoms, fractional coordinates:
Mg 0.000 0.000 0.000 (multiplicity 1)
Mg 0.439 0.843 0.288 (multiplicity 2)
Tl 0.273 0.584 0.850 (multiplicity 2)
Cd 0.160 0.258 0.419 (multiplicity 2)

Calculated values
Energy relative to the elements: -0.032 eV/atom
Crystal system: triclinic
Energy above the most stable polymorph in this dataset: 0 meV per atom

(2)
## Mg6Tl5Cd (GGA-PBE)

Data for a relaxed Mg6Tl5Cd crystal.

Cell: 15.664 7.968 4.944 Å, 90.00 107.75 90.00°
Space group C2/m (No. 12)
Inequivalent atoms, fractional coordinates:
Mg 0.000 0.244 0.000 (multiplicity 4)
Mg 0.165 0.248 0.665 (multiplicity 8)
Tl 0.000 0.500 0.500 (multiplicity 2)
Tl 0.164 0.000 0.165 (multiplicity 4)
Tl 0.166 0.500 0.166 (multiplicity 4)
Cd 0.000 0.000 0.500 (multiplicity 2)

Calculated values
Energy relative to the elements: -0.035 eV/atom
Crystal system: monoclinic

(3)
## MgTlCd2 (GGA-PBE)

Data for a relaxed MgTlCd2 crystal.

Cell: 5.797 3.317 10.383 Å, 90.00 98.74 90.00°
Space group Cm (No. 8)
Inequivalent atoms, fractional coordinates:
Mg 0.000 0.000 0.000 (multiplicity 2)
Tl 0.335 0.500 0.501 (multiplicity 2)
Cd 0.262 0.000 0.767 (multiplicity 2)
Cd 0.402 0.000 0.233 (multiplicity 2)

Calculated values
Energy relative to the elements: 0.009 eV/atom
Crystal system: monoclinic
Energy above the most stable polymorph in this dataset: 28 meV per atom

(4)
## Mg3Tl2Cd (GGA-PBE)

Data for a relaxed Mg3Tl2Cd crystal.

Cell: 3.574 3.574 11.135 Å, 90.00 90.00 90.00°
Space group P4/mmm (No. 123)
Inequivalent atoms, fractional coordinates:
Mg 0.000 0.000 0.000 (multiplicity 1)
Mg 0.000 0.000 0.344 (multiplicity 2)
Tl 0.500 0.500 0.173 (multiplicity 2)
Cd 0.500 0.500 0.500 (multiplicity 1)

Calculated values
Energy relative to the elements: -0.058 eV/atom
Crystal system: tetragonal

(5)
## Mg6Tl3Cd (GGA-PBE)

Data for a relaxed Mg6Tl3Cd crystal.

Cell: 8.590 5.225 11.352 Å, 90.00 111.29 90.00°
Space group P2_1/m (No. 11)
Inequivalent atoms, fractional coordinates:
Mg 0.038 0.250 0.425 (multiplicity 2)
Mg 0.174 0.750 0.177 (multiplicity 2)
Mg 0.251 0.250 0.021 (multiplicity 2)
Mg 0.339 0.250 0.326 (multiplicity 2)
Mg 0.365 0.750 0.787 (multiplicity 2)
Mg 0.437 0.250 0.636 (multiplicity 2)
Tl 0.045 0.750 0.880 (multiplicity 2)
Tl 0.135 0.250 0.720 (multiplicity 2)
Tl 0.282 0.750 0.484 (multiplicity 2)
Cd 0.460 0.750 0.077 (multiplicity 2)

Calculated values
Energy relative to the elements: -0.038 eV/atom
Crystal system: monoclinic
Energy above the most stable polymorph in this dataset: 0 meV per atom

(6)
## Mg8Tl3Cd (GGA-PBE)

Data for a relaxed Mg8Tl3Cd crystal.

Cell: 6.722 10.381 8.995 Å, 90.00 111.73 90.00°
Space group C2/m (No. 12)
Inequivalent atoms, fractional coordinates:
Mg 0.094 0.000 0.195 (multiplicity 4)
Mg 0.095 0.247 0.686 (multiplicity 8)
Mg 0.100 0.500 0.195 (multiplicity 4)
Tl 0.000 0.250 0.000 (multiplicity 4)
Tl 0.000 0.500 0.500 (multiplicity 2)
Cd 0.000 0.000 0.500 (multiplicity 2)

Calculated values
Energy relative to the elements: -0.013 eV/atom
Crystal system: monoclinic
Energy above the most stable polymorph in this dataset: 0 meV per atom

Q: The lowest energy relative to the elements belongs to which entry?
A: Mg3Tl2Cd